Entry from Alexandria via LeMat-Bulk: an optimized crystal structure of Sc2FeRe (PBE).

a = 5.0654 Å, b = 5.0654 Å, c = 4.7072 Å
α = 62.29°, β = 62.29°, γ = 38.95°
Last column: nearest neighbours and their distance in Å.
Fractional coordinates of all 4 atoms:
Fe: 0.2500 0.2500 0.2500  4 Sc 2.59, 4 Re 2.90
Re: 0.7500 0.7500 0.7500  8 Sc 2.77-3.06, 4 Fe 2.90
Sc: 0.9860 0.9860 0.0141  2 Fe 2.59, 2 Re 2.77
Sc: 0.5140 0.5140 0.4859  2 Fe 2.59, 2 Re 2.77

Values from the calculation:
Density of states at the Fermi level: 3.68 states/eV per cell
Polymorph energy (0 for the lowest one): 182 meV per atom
Total magnetization: 1.47 μB per cell
ρ: 8.3 g cm⁻³
Space-group type: Immm


Entry from Alexandria via LeMat-Bulk: an optimized crystal structure of ScFeRe (PBE).

a = 4.2879 Å, b = 4.2879 Å, c = 4.2879 Å
α = 60.00°, β = 60.00°, γ = 60.00°
Last column: nearest neighbours and their distance in Å.
Fractional coordinates of all 3 atoms:
Fe: 0.0000 0.0000 0.0000  4 Sc 2.63
Re: 0.5000 0.5000 0.5000  4 Sc 2.63
Sc: 0.7500 0.7500 0.7500  4 Re 2.63, 4 Fe 2.63

Values from the calculation:
Density of states at the Fermi level: 3.72 states/eV per cell
Polymorph energy (0 for the lowest one): 1614 meV per atom
Total magnetization: 3.68 μB per cell
ρ: 8.5 g cm⁻³
Space-group type: F-43m


Entry from Alexandria via LeMat-Bulk: an optimized crystal structure of Sc2FeRe (PBE).

a = 5.2440 Å, b = 5.2440 Å, c = 5.2440 Å
α = 136.12°, β = 136.12°, γ = 63.79°
Last column: nearest neighbours and their distance in Å.
Fractional coordinates of all 4 atoms:
Fe: 0.5000 0.5000 0.0000  8 Sc 2.77-2.97, 4 Re 2.97
Re: 0.7500 0.2500 0.5000  8 Sc 2.77-2.97, 4 Fe 2.97
Sc: 0.0000 0.0000 0.0000  4 Fe 2.77, 4 Re 2.97, 4 Sc 2.97
Sc: 0.2500 0.7500 0.5000  4 Re 2.77, 4 Sc 2.97, 4 Fe 2.97

Values from the calculation:
Density of states at the Fermi level: 5.65 states/eV per cell
Polymorph energy (0 for the lowest one): 219 meV per atom
Total magnetization: 2.45 μB per cell
ρ: 8.1 g cm⁻³
Space-group type: I-4m2


Entry from Alexandria via LeMat-Bulk: an optimized crystal structure of Sc2FeRe (PBE).

a = 4.5282 Å, b = 4.5282 Å, c = 4.5282 Å
α = 60.00°, β = 60.00°, γ = 60.00°
Last column: nearest neighbours and their distance in Å.
Fractional coordinates of all 4 atoms:
Sc: 0.2500 0.2500 0.2500  4 Re 2.77, 4 Fe 2.77
Sc: 0.7500 0.7500 0.7500  4 Fe 2.77, 4 Re 2.77
Re: 0.5000 0.5000 0.5000  8 Sc 2.77
Fe: 0.0000 0.0000 0.0000  8 Sc 2.77

Values from the calculation:
Density of states at the Fermi level: 7.11 states/eV per cell
Polymorph energy (0 for the lowest one): 162 meV per atom
Total magnetization: 0.00 μB per cell
ρ: 8.4 g cm⁻³
Space-group type: Fm-3m


Entry from Alexandria via LeMat-Bulk: an optimized crystal structure of ScFe2Re (PBE).

a = 4.0935 Å, b = 2.7047 Å, c = 5.3495 Å
α = 76.90°, β = 90.00°, γ = 90.00°
Last column: nearest neighbours and their distance in Å.
Fractional coordinates of all 4 atoms:
Fe: 0.0000 0.0040 0.0273  3 Fe 2.47-2.70, 2 Re 2.53, 2 Sc 2.71
Fe: 0.0000 0.4960 0.4727  3 Fe 2.47-2.70, 2 Re 2.53, 2 Sc 2.71
Re: 0.5000 0.2500 0.2500  4 Fe 2.53, 2 Re 2.70, 2 Sc 2.71
Sc: 0.5000 0.7500 0.7500  2 Sc 2.70, 8 Fe 2.71-3.02, 2 Re 2.71

Values from the calculation:
Density of states at the Fermi level: 3.92 states/eV per cell
Total magnetization: 3.47 μB per cell
Raw total energy: -35.3 eV/cell
ρ: 9.9 g cm⁻³
Space-group type: P2/m


Entry from Alexandria via LeMat-Bulk: an optimized crystal structure of Sc2FeRe (PBE).

a = 5.4536 Å, b = 5.4536 Å, c = 4.5131 Å
α = 65.55°, β = 65.55°, γ = 33.24°
Last column: nearest neighbours and their distance in Å.
Fractional coordinates of all 4 atoms:
Fe: 0.4816 0.4816 0.5184  2 Re 2.51, 4 Sc 2.76
Re: 0.7735 0.7735 0.7265  2 Fe 2.51, 4 Sc 2.77
Sc: 0.0115 0.0115 0.9885  4 Fe 2.76, 2 Re 2.92, 4 Sc 3.05-3.08
Sc: 0.2334 0.2334 0.2667  4 Re 2.77, 2 Fe 2.84, 4 Sc 3.05-3.08

Values from the calculation:
Density of states at the Fermi level: 4.09 states/eV per cell
Polymorph energy (0 for the lowest one): 0 meV per atom
Total magnetization: 0.35 μB per cell
ρ: 8.3 g cm⁻³
Space-group type: Imm2


Entry from Alexandria via LeMat-Bulk: an optimized crystal structure of ScFe2Re (PBE).

a = 2.9633 Å, b = 2.9633 Å, c = 6.5925 Å
α = 90.00°, β = 90.00°, γ = 90.00°
Last column: nearest neighbours and their distance in Å.
Fractional coordinates of all 4 atoms:
Fe: 0.0000 0.0000 0.0383  4 Fe 2.48, 1 Re 2.76, 4 Sc 2.77
Fe: 0.5000 0.5000 0.2404  4 Fe 2.48, 4 Re 2.54
Re: 0.0000 0.0000 0.4573  5 Fe 2.54-2.76
Sc: 0.5000 0.5000 0.7641  4 Fe 2.77, 4 Re 2.91, 4 Sc 2.96

Values from the calculation:
Density of states at the Fermi level: 2.88 states/eV per cell
Total magnetization: 3.52 μB per cell
Raw total energy: -35.6 eV/cell
ρ: 9.8 g cm⁻³
Space-group type: P4mm


Entry from Alexandria via LeMat-Bulk: an optimized crystal structure of ScFeRe2 (PBE).

a = 4.3592 Å, b = 4.3592 Å, c = 4.3592 Å
α = 60.00°, β = 60.00°, γ = 60.00°
Last column: nearest neighbours and their distance in Å.
Fractional coordinates of all 4 atoms:
Sc: 0.0000 0.0000 0.0000  8 Re 2.67
Re: 0.2500 0.2500 0.2500  4 Fe 2.67, 4 Sc 2.67
Re: 0.7500 0.7500 0.7500  4 Fe 2.67, 4 Sc 2.67
Fe: 0.5000 0.5000 0.5000  8 Re 2.67

Values from the calculation:
Density of states at the Fermi level: 9.83 states/eV per cell
Polymorph energy (0 for the lowest one): 420 meV per atom
Total magnetization: 0.00 μB per cell
ρ: 13.4 g cm⁻³
Space-group type: Fm-3m


Entry from Alexandria via LeMat-Bulk: an optimized crystal structure of Sc3FeRe (PBE).

a = 4.6345 Å, b = 4.6345 Å, c = 4.6345 Å
α = 90.00°, β = 90.00°, γ = 90.00°
Last column: nearest neighbours and their distance in Å.
Fractional coordinates of all 5 atoms:
Sc: 0.0000 0.5000 0.0000  2 Fe 2.32
Sc: 0.0000 0.0000 0.5000  2 Fe 2.32
Sc: 0.5000 0.0000 0.0000  2 Fe 2.32
Re: 0.5000 0.5000 0.5000  12 Sc 3.28
Fe: 0.0000 0.0000 0.0000  6 Sc 2.32

Values from the calculation:
Density of states at the Fermi level: 3.68 states/eV per cell
Polymorph energy (0 for the lowest one): 0 meV per atom
Total magnetization: 0.18 μB per cell
ρ: 6.3 g cm⁻³
Space-group type: Pm-3m


Entry from Alexandria via LeMat-Bulk: an optimized crystal structure of ScFe8Re3 (PBE).

a = 4.6898 Å, b = 4.6898 Å, c = 7.7632 Å
α = 90.00°, β = 90.00°, γ = 120.00°
Last column: nearest neighbours and their distance in Å.
Fractional coordinates of all 12 atoms:
Sc: 0.0000 0.0000 0.5660  12 Fe 2.75-2.79, 4 Re 2.95-2.96
Fe: 0.3333 0.6667 0.5008  6 Fe 2.39-2.40
Fe: 0.3333 0.6667 0.0034  6 Fe 2.36-2.38
Fe: 0.5034 0.0068 0.7538  6 Fe 2.30-2.40
Fe: 0.5034 0.4966 0.7538  6 Fe 2.30-2.40
Fe: 0.9932 0.4966 0.7538  6 Fe 2.30-2.40
Fe: 0.1634 0.3269 0.2496  6 Fe 2.30-2.39
Fe: 0.1634 0.8366 0.2496  6 Fe 2.30-2.39
Fe: 0.6731 0.8366 0.2496  6 Fe 2.30-2.39
Re: 0.6667 0.3333 0.4125  12 Fe 2.66-2.96, 1 Re 2.72, 3 Sc 2.96
Re: 0.6667 0.3333 0.0616  4 Re 2.72-2.85, 12 Fe 2.73-2.76
Re: 0.0000 0.0000 0.9454  12 Fe 2.71-2.78, 3 Re 2.85, 1 Sc 2.95

Values from the calculation:
Density of states at the Fermi level: 12.60 states/eV per cell
Total magnetization: 6.75 μB per cell
Raw total energy: -111.7 eV/cell
ρ: 11.8 g cm⁻³
Space-group type: P3m1


Entry from Alexandria via LeMat-Bulk: an optimized crystal structure of ScFeRe2 (PBE).

a = 3.1185 Å, b = 4.3341 Å, c = 4.4829 Å
α = 90.00°, β = 90.00°, γ = 90.00°
Last column: nearest neighbours and their distance in Å.
Fractional coordinates of all 4 atoms:
Fe: 0.0000 0.5000 0.5000  4 Sc 2.67, 4 Re 2.73
Re: 0.0000 0.0000 0.0000  4 Re 2.67, 4 Sc 2.73
Re: 0.5000 0.5000 0.0000  4 Re 2.67, 4 Fe 2.73
Sc: 0.5000 0.0000 0.5000  4 Fe 2.67, 4 Re 2.73

Values from the calculation:
Density of states at the Fermi level: 2.97 states/eV per cell
Polymorph energy (0 for the lowest one): 48 meV per atom
Total magnetization: 1.84 μB per cell
ρ: 13.0 g cm⁻³
Space-group type: Pmmm


Entry from Alexandria via LeMat-Bulk: an optimized crystal structure of Sc3FeRe (PBE).

a = 4.9677 Å, b = 4.9677 Å, c = 4.9677 Å
α = 90.00°, β = 90.00°, γ = 90.00°
Last column: nearest neighbours and their distance in Å.
Fractional coordinates of all 5 atoms:
Sc: 0.0000 0.5000 0.0000  2 Re 2.48
Sc: 0.0000 0.0000 0.5000  2 Re 2.48
Sc: 0.5000 0.0000 0.0000  2 Re 2.48
Re: 0.0000 0.0000 0.0000  6 Sc 2.48
Fe: 0.5000 0.5000 0.5000  12 Sc 3.51

Values from the calculation:
Density of states at the Fermi level: 8.69 states/eV per cell
Polymorph energy (0 for the lowest one): 315 meV per atom
Total magnetization: 0.16 μB per cell
ρ: 5.1 g cm⁻³
Space-group type: Pm-3m